# Fe2C (PBE, relaxed)
# DFT total energy in eV/atom: -8.6580
# Formation enthalpy at 0 K in eV/atom: 0.058
# Calculated density in kg/m3: 7225
data_Fe2C
_chemical_formula_sum 'Fe4 C2'
_symmetry_space_group_name_H-M 'P n n m'
_symmetry_Int_Tables_number 58
_cell_length_a 4.281
_cell_length_b 4.704
_cell_length_c 2.824
_cell_angle_alpha 90.00
_cell_angle_beta 90.00
_cell_angle_gamma 90.00
loop_
_symmetry_equiv_pos_as_xyz
'x,y,z'
'-x,-y,-z'
'-x,-y,z'
'x,y,-z'
'x+1/2,-y+1/2,-z+1/2'
'-x+1/2,y+1/2,z+1/2'
'-x+1/2,y+1/2,-z+1/2'
'x+1/2,-y+1/2,z+1/2'
loop_
_atom_site_label
_atom_site_type_symbol
_atom_site_fract_x
_atom_site_fract_y
_atom_site_fract_z
_atom_site_occupancy
Fe1 Fe 0.250 0.155 0.000 1
C1 C 0.000 0.000 0.500 1